Record 1
# ZnIn2S4 PBE optimized geometry
# E_tot ... -3.95 eV/atom
# Formation energy (no corrections) ... -629 meV per atom
# Magnetic moment ... 0.00 Bohr magnetons per cell
data_ZnIn2S4
_cell_length_a 3.914
_cell_length_b 6.768
_cell_length_c 13.071
_cell_angle_alpha 80.36
_cell_angle_beta 90.00
_cell_angle_gamma 90.00
_space_group_name_H-M_alt 'P 1'
_space_group_IT_number 1
_space_group_name_Hall 'P 1'
loop_
_atom_site_label
_atom_site_fract_x
_atom_site_fract_y
_atom_site_fract_z
In1 0.500 0.726 0.308
In2 0.500 0.500 0.000
In3 0.500 0.274 0.692
In4 0.000 0.000 0.000
S1 0.500 0.799 0.108
S2 0.500 0.638 0.638
S3 0.000 0.104 0.630
S4 0.000 0.703 0.893
S5 0.000 0.297 0.107
S6 0.000 0.896 0.370
S7 0.500 0.362 0.362
S8 0.500 0.201 0.892
Zn1 0.000 0.241 0.294
Zn2 0.000 0.759 0.706

***

Record 2
# ZnIn2S4 PBE optimized geometry
# E_tot ... -3.89 eV/atom
# Formation energy (no corrections) ... -572 meV per atom
# Magnetic moment ... 0.00 Bohr magnetons per cell
data_ZnIn2S4
_cell_length_a 3.927
_cell_length_b 3.927
_cell_length_c 26.467
_cell_angle_alpha 90.00
_cell_angle_beta 90.00
_cell_angle_gamma 120.00
_space_group_name_H-M_alt 'P 1'
_space_group_IT_number 1
_space_group_name_Hall 'P 1'
loop_
_atom_site_label
_atom_site_fract_x
_atom_site_fract_y
_atom_site_fract_z
In1 0.000 0.000 0.264
In2 0.333 0.667 0.111
In3 0.667 0.333 0.889
In4 0.000 0.000 0.736
S1 0.333 0.667 0.932
S2 0.667 0.333 0.309
S3 0.333 0.667 0.441
S4 0.667 0.333 0.068
S5 0.333 0.667 0.691
S6 0.667 0.333 0.559
S7 0.333 0.667 0.202
S8 0.667 0.333 0.798
Zn1 0.667 0.333 0.461
Zn2 0.333 0.667 0.539